CsAg2Pt2: optimized geometry, PBE-GGA.

Calculated values
N(E_F) = 0.6552 states/eV per atom
Volume = 122.0 Å³ per cell
Crystal system = tetragonal
Distance to the lowest polymorph of the same formula = 0.0 meV/atom
SG = I4/mmm
Energy of formation from the pure elements = 245 meV/atom
Size of the total moment = 0.00 μB/cell

a b c (Å): 4.699 4.699 6.448
angles (deg): 68.63 68.63 90.00
Sites, in units of the cell vectors:
Ag 0.250 0.750 0.500
Ag 0.750 0.250 0.500
Pt 0.384 0.384 0.233
Pt 0.616 0.616 0.767
Cs 0.000 0.000 0.000

Cs2AgPt2: optimized geometry, PBE-GGA.

Calculated values
N(E_F) = 0.5825 states/eV per atom
Volume = 151.4 Å³ per cell
Crystal system = orthorhombic
Distance to the lowest polymorph of the same formula = 0.0 meV/atom
SG = Immm
Energy of formation from the pure elements = -16 meV/atom
Size of the total moment = 0.00 μB/cell

a b c (Å): 5.350 4.864 6.850
angles (deg): 69.21 67.02 90.00
Sites, in units of the cell vectors:
Pt 0.743 0.500 0.000
Pt 0.257 0.500 0.000
Cs 0.302 0.802 0.397
Cs 0.698 0.198 0.603
Ag 0.000 0.000 0.000

Question: The highest N(E_F) belongs to which entry?
Answer: CsAg2Pt2

Repeat the second record exactly.
Cs2AgPt2: optimized geometry, PBE-GGA.

Calculated values
N(E_F) = 0.5825 states/eV per atom
Volume = 151.4 Å³ per cell
Crystal system = orthorhombic
Distance to the lowest polymorph of the same formula = 0.0 meV/atom
SG = Immm
Energy of formation from the pure elements = -16 meV/atom
Size of the total moment = 0.00 μB/cell

a b c (Å): 5.350 4.864 6.850
angles (deg): 69.21 67.02 90.00
Sites, in units of the cell vectors:
Pt 0.743 0.500 0.000
Pt 0.257 0.500 0.000
Cs 0.302 0.802 0.397
Cs 0.698 0.198 0.603
Ag 0.000 0.000 0.000